Entry 1:
The following is a PBE-GGA calculation of a relaxed structure of PmThBiAs, from Alexandria.

Results
- space group = No. 160
- formation energy from the elements (meV per atom) = -1047
- electronic total energy (eV/atom) = -6.22
- M_tot (μB per cell) = 0.00
- N(E_F) (states/eV/cell) = 3.0

Cell: 7.9381 7.9381 7.9381 Å, 31.79 31.79 31.79°
Element x y z (fractional)
Pm  0.0000  0.0000  0.0000
Th  0.8122  0.8122  0.8122
Bi  0.2389  0.2389  0.2389
As  0.4078  0.4078  0.4078

=====

Entry 2:
The following is a PBE-GGA calculation of a relaxed structure of AlCu3, from Alexandria.

Results
- space group = No. 221
- formation energy from the elements (meV per atom) = 997
- electronic total energy (eV/atom) = -3.01
- M_tot (μB per cell) = 0.00
- N(E_F) (states/eV/cell) = 2.8

Cell: 4.6257 4.6257 4.6257 Å, 90.00 90.00 90.00°
Element x y z (fractional)
Al  0.0000  0.0000  0.0000
Cu  0.0000  0.0000  0.5000
Cu  0.0000  0.5000  0.0000
Cu  0.5000  0.0000  0.0000

=====

Entry 3:
The following is a PBE-GGA calculation of a relaxed structure of Cs10RbNa6, from Alexandria.

Results
- space group = No. 162
- formation energy from the elements (meV per atom) = 28
- electronic total energy (eV/atom) = -1.00
- M_tot (μB per cell) = 0.00
- N(E_F) (states/eV/cell) = 12.2

Cell: 13.1231 13.1231 9.3380 Å, 90.00 90.00 120.00°
Element x y z (fractional)
Cs  0.0000  0.2926  0.2962
Cs  0.0000  0.7074  0.7038
Cs  0.2926  0.0000  0.2962
Cs  0.2926  0.2926  0.7038
Cs  0.3333  0.6667  0.0000
Cs  0.3333  0.6667  0.5000
Cs  0.6667  0.3333  0.0000
Cs  0.6667  0.3333  0.5000
Cs  0.7074  0.0000  0.7038
Cs  0.7074  0.7074  0.2962
Rb  0.0000  0.0000  0.0000
Na  0.0000  0.3703  0.7992
Na  0.0000  0.6297  0.2008
Na  0.3703  0.0000  0.7992
Na  0.3703  0.3703  0.2008
Na  0.6297  0.0000  0.2008
Na  0.6297  0.6297  0.7992

=====

Entry 4:
The following is a PBE-GGA calculation of a relaxed structure of BeZn3Ge, from Alexandria.

Results
- space group = No. 221
- formation energy from the elements (meV per atom) = 423
- electronic total energy (eV/atom) = -2.01
- M_tot (μB per cell) = 0.00
- excess energy over the best structure of this formula in the dataset (eV/f.u.) = 0.000
- N(E_F) (states/eV/cell) = 1.9

Cell: 4.3569 4.3569 4.3569 Å, 90.00 90.00 90.00°
Element x y z (fractional)
Be  0.0000  0.0000  0.0000
Zn  0.0000  0.0000  0.5000
Zn  0.0000  0.5000  0.0000
Zn  0.5000  0.0000  0.0000
Ge  0.5000  0.5000  0.5000